# 1
ZnPtW2: relaxed, PBE.

Geometry as POSCAR:
```
ZnPtW2
1.0
4.817 0.000 0.000
0.000 4.817 0.000
0.000 0.000 2.697
Zn Pt W
1 1 2
Direct
0.000 0.000 0.000
0.500 0.500 0.000
0.000 0.500 0.500
0.500 0.000 0.500
```

The total energy is -7.9636 eV per atom. The density of states at the Fermi level comes out at 0.961 states/eV/atom. The formation enthalpy at 0 K is 341.6 meV/atom.

---

# 2
ZnPt4W: relaxed, PBE.

Geometry as POSCAR:
```
ZnPt4W
1.0
0.000 3.683 3.683
3.683 0.000 3.683
3.683 3.683 0.000
Zn Pt W
1 4 1
Direct
0.000 0.000 0.000
0.125 0.625 0.625
0.625 0.125 0.625
0.625 0.625 0.125
0.625 0.625 0.625
0.250 0.250 0.250
```

The total energy is -6.1344 eV per atom. The density of states at the Fermi level comes out at 1.135 states/eV/atom. The formation enthalpy at 0 K is 264.0 meV/atom.

---

# 3
ZnPtW2: relaxed, PBE.

Geometry as POSCAR:
```
ZnPtW2
1.0
1.397 0.806 9.242
-1.397 0.806 9.242
0.000 -1.613 9.242
Zn Pt W
1 1 2
Direct
0.000 0.000 0.000
0.500 0.500 0.500
0.250 0.250 0.250
0.750 0.750 0.750
```

The total energy is -8.1630 eV per atom. The density of states at the Fermi level comes out at 0.750 states/eV/atom. The formation enthalpy at 0 K is 142.3 meV/atom.

---

# 4
ZnPtW2: relaxed, PBE.

Geometry as POSCAR:
```
ZnPtW2
1.0
-1.982 1.982 3.942
1.982 -1.982 3.942
1.982 1.982 -3.942
Zn Pt W
1 1 2
Direct
0.000 0.000 0.000
0.750 0.250 0.500
0.250 0.750 0.500
0.500 0.500 0.000
```

The total energy is -8.2039 eV per atom. The density of states at the Fermi level comes out at 0.507 states/eV/atom. The formation enthalpy at 0 K is 101.4 meV/atom.

---

# 5
ZnPtW2: relaxed, PBE.

Geometry as POSCAR:
```
ZnPtW2
1.0
2.720 0.000 0.000
0.000 4.302 0.000
-0.864 0.000 5.291
Zn Pt W
1 1 2
Direct
0.000 0.000 0.000
0.092 0.500 0.253
0.425 0.500 0.775
0.648 0.000 0.507
```

The total energy is -8.3298 eV per atom. The density of states at the Fermi level comes out at 0.471 states/eV/atom. The formation enthalpy at 0 K is -24.5 meV/atom.

---

# 6
ZnPtW3: relaxed, PBE.

Geometry as POSCAR:
```
ZnPtW3
1.0
4.791 0.000 0.000
0.000 4.791 0.000
0.000 0.000 4.791
Zn Pt W
1 1 3
Direct
0.000 0.000 0.000
0.500 0.500 0.500
0.000 0.500 0.500
0.500 0.000 0.500
0.500 0.500 0.000
```

The total energy is -7.0743 eV per atom. The density of states at the Fermi level comes out at 1.220 states/eV/atom. The formation enthalpy at 0 K is 2160.6 meV/atom. The calculation puts the energy relative to the lowest polymorph listed for this composition at 0.353 eV per atom.

---

# 7
Zn2Pt2W: relaxed, PBE.

Geometry as POSCAR:
```
Zn2Pt2W
1.0
7.353 0.000 0.000
0.000 7.353 0.000
0.000 0.000 2.783
Zn Pt W
4 4 2
Direct
0.121 0.379 0.000
0.379 0.879 0.000
0.621 0.121 0.000
0.879 0.621 0.000
0.178 0.678 0.500
0.322 0.178 0.500
0.678 0.822 0.500
0.822 0.322 0.500
0.000 0.000 0.000
0.500 0.500 0.000
```

The total energy is -5.6225 eV per atom. The density of states at the Fermi level comes out at 0.538 states/eV/atom. The formation enthalpy at 0 K is -106.0 meV/atom.

---

# 8
ZnPtW2: relaxed, PBE.

Geometry as POSCAR:
```
ZnPtW2
1.0
2.718 0.000 0.000
0.000 4.212 0.000
-0.320 0.000 5.363
Zn Pt W
1 1 2
Direct
0.000 0.000 0.000
0.000 0.000 0.500
0.470 0.500 0.239
0.530 0.500 0.761
```

The total energy is -8.2671 eV per atom. The density of states at the Fermi level comes out at 0.538 states/eV/atom. The formation enthalpy at 0 K is 38.2 meV/atom.

---

# 9
ZnPtW2: relaxed, PBE.

Geometry as POSCAR:
```
ZnPtW2
1.0
2.745 0.000 0.000
0.000 2.745 0.000
0.000 0.000 8.225
Zn Pt W
1 1 2
Direct
0.000 0.000 0.000
0.500 0.500 0.238
0.000 0.000 0.477
0.500 0.500 0.749
```

The total energy is -8.3301 eV per atom. The density of states at the Fermi level comes out at 0.698 states/eV/atom. The formation enthalpy at 0 K is -24.8 meV/atom.

---

# 10
ZnPtW2: relaxed, PBE.

Geometry as POSCAR:
```
ZnPtW2
1.0
-1.861 1.861 9.665
1.861 -1.861 9.665
1.861 1.861 -9.665
Zn Pt W
2 2 4
Direct
0.000 0.000 0.000
0.750 0.250 0.500
0.250 0.750 0.500
0.500 0.500 0.000
0.115 0.625 0.990
0.375 0.365 0.490
0.635 0.125 0.010
0.875 0.885 0.510
```

The total energy is -7.8203 eV per atom. The density of states at the Fermi level comes out at 0.670 states/eV/atom. The formation enthalpy at 0 K is 485.0 meV/atom.

---

# 11
ZnPtW2: relaxed, PBE.

Geometry as POSCAR:
```
ZnPtW2
1.0
4.603 -1.354 0.000
4.603 1.354 0.000
-0.593 0.000 4.988
Zn Pt W
1 1 2
Direct
0.000 0.000 0.000
0.751 0.751 0.226
0.246 0.246 0.742
0.490 0.490 0.502
```

The total energy is -8.2512 eV per atom. The density of states at the Fermi level comes out at 0.482 states/eV/atom. The formation enthalpy at 0 K is 54.0 meV/atom.

---

# 12
ZnPt3W: relaxed, PBE.

Geometry as POSCAR:
```
ZnPt3W
1.0
4.542 0.000 0.000
0.000 4.542 0.000
0.000 0.000 4.542
Zn Pt W
1 3 1
Direct
0.000 0.000 0.000
0.000 0.000 0.500
0.000 0.500 0.000
0.500 0.000 0.000
0.500 0.500 0.500
```

The total energy is -5.2746 eV per atom. The density of states at the Fermi level comes out at 0.759 states/eV/atom. The formation enthalpy at 0 K is 1195.3 meV/atom. The calculation puts the energy relative to the lowest polymorph listed for this composition at 0.058 eV per atom.

---

# 13
ZrPtW: relaxed, PBE.

Geometry as POSCAR:
```
ZrPtW
1.0
-1.429 1.429 6.443
1.429 -1.429 6.443
1.429 1.429 -6.443
Zr Pt W
1 1 1
Direct
0.000 0.000 0.000
0.674 0.674 0.000
0.321 0.321 0.000
```

The total energy is -9.4905 eV per atom. The density of states at the Fermi level comes out at 0.731 states/eV/atom. The formation enthalpy at 0 K is -309.8 meV/atom. The calculation puts the energy relative to the lowest polymorph listed for this composition at 0.000 eV per atom.

---

# 14
ZrPtW: relaxed, PBE.

Geometry as POSCAR:
```
ZrPtW
1.0
0.000 3.146 3.146
3.146 0.000 3.146
3.146 3.146 0.000
Zr Pt W
1 1 1
Direct
0.000 0.000 0.000
0.250 0.250 0.250
0.500 0.500 0.500
```

The total energy is -8.9436 eV per atom. The density of states at the Fermi level comes out at 1.473 states/eV/atom. The formation enthalpy at 0 K is 237.1 meV/atom. The calculation puts the energy relative to the lowest polymorph listed for this composition at 0.547 eV per atom.

---

# 15
ZrPtW: relaxed, PBE.

Geometry as POSCAR:
```
ZrPtW
1.0
-1.454 1.866 5.001
1.454 -1.866 5.001
1.454 1.866 -5.001
Zr Pt W
1 1 1
Direct
0.000 0.000 0.000
0.684 0.684 0.000
0.319 0.319 0.000
```

The total energy is -9.3284 eV per atom. The density of states at the Fermi level comes out at 0.978 states/eV/atom. The formation enthalpy at 0 K is -147.6 meV/atom. The calculation puts the energy relative to the lowest polymorph listed for this composition at 0.162 eV per atom.

---

# 16
ZrPtW3: relaxed, PBE.

Geometry as POSCAR:
```
ZrPtW3
1.0
4.730 0.000 0.000
0.000 4.730 0.000
0.000 0.000 4.730
Zr Pt W
1 1 3
Direct
0.000 0.000 0.000
0.500 0.500 0.500
0.000 0.000 0.500
0.000 0.500 0.000
0.500 0.000 0.000
```

The total energy is -8.1184 eV per atom. The density of states at the Fermi level comes out at 1.477 states/eV/atom. The formation enthalpy at 0 K is 2571.2 meV/atom. The calculation puts the energy relative to the lowest polymorph listed for this composition at 0.847 eV per atom.

---

# 17
ZrPt3W: relaxed, PBE.

Geometry as POSCAR:
```
ZrPt3W
1.0
4.812 0.000 0.000
0.000 4.812 0.000
0.000 0.000 4.812
Zr Pt W
1 3 1
Direct
0.000 0.000 0.000
0.000 0.500 0.500
0.500 0.000 0.500
0.500 0.500 0.000
0.500 0.500 0.500
```

The total energy is -7.2444 eV per atom. The density of states at the Fermi level comes out at 1.331 states/eV/atom. The formation enthalpy at 0 K is 680.4 meV/atom. The calculation puts the energy relative to the lowest polymorph listed for this composition at 0.000 eV per atom.

---

# 18
ZrPt4W: relaxed, PBE.

Geometry as POSCAR:
```
ZrPt4W
1.0
0.000 3.712 3.712
3.712 0.000 3.712
3.712 3.712 0.000
Zr Pt W
1 4 1
Direct
0.000 0.000 0.000
0.126 0.625 0.625
0.625 0.126 0.625
0.625 0.625 0.126
0.625 0.625 0.625
0.250 0.250 0.250
```

The total energy is -7.8539 eV per atom. The density of states at the Fermi level comes out at 0.941 states/eV/atom. The formation enthalpy at 0 K is -243.2 meV/atom.

---

# 19
ZrPtW3: relaxed, PBE.

Geometry as POSCAR:
```
ZrPtW3
1.0
4.792 0.000 0.000
0.000 4.792 0.000
0.000 0.000 4.792
Zr Pt W
1 1 3
Direct
0.000 0.000 0.000
0.500 0.500 0.500
0.000 0.500 0.500
0.500 0.000 0.500
0.500 0.500 0.000
```

The total energy is -8.9651 eV per atom. The density of states at the Fermi level comes out at 1.334 states/eV/atom. The formation enthalpy at 0 K is 1724.6 meV/atom. The calculation puts the energy relative to the lowest polymorph listed for this composition at 0.000 eV per atom.

---

# 20
ZrPtW: relaxed, PBE.

Geometry as POSCAR:
```
ZrPtW
1.0
4.710 0.000 0.000
-2.355 4.079 0.000
0.000 0.000 2.777
Zr Pt W
1 1 1
Direct
0.000 0.000 0.000
0.667 0.333 0.500
0.333 0.667 0.500
```

The total energy is -9.3036 eV per atom. The density of states at the Fermi level comes out at 0.883 states/eV/atom. The formation enthalpy at 0 K is -122.8 meV/atom. The calculation puts the energy relative to the lowest polymorph listed for this composition at 0.187 eV per atom.